Compound: CsNaSb2P
Source: Alexandria
Functional: GGA-PBEsol
Structure: optimized geometry

Cell lengths 5.229, 5.476, 5.476 Å; angles 90.00, 90.00, 90.00 degrees
Element x y z (fractional)
1 Sb 0.000 0.500 0.000
2 Sb 0.000 0.000 0.500
3 Na 0.000 0.000 0.000
4 P 0.500 0.000 0.000
5 Cs 0.500 0.500 0.500

Computed properties:
**ρ**: 4.56 g/cm³
**ΔE_f (raw)**: 538 meV per atom
**M_tot**: 0.000 μB per cell
**D(E_F)**: 3.526 states/eV per cell
**Space group**: P4/mmm, No. 123

=====

Compound: Cs3Na2SnP3
Source: Alexandria
Functional: GGA-PBEsol
Structure: optimized geometry

Cell lengths 6.800, 10.677, 16.049 Å; angles 90.00, 90.00, 108.57 degrees
Element x y z (fractional)
1 P 0.439 0.315 0.906
2 Sn 0.588 0.175 0.000
3 P 0.701 0.000 0.915
4 Sn 0.912 0.825 0.500
5 P 0.876 0.315 0.094
6 Na 0.419 0.839 0.500
7 Cs 0.558 0.666 0.325
8 Cs 0.392 0.334 0.175
9 P 0.061 0.685 0.406
10 P 0.561 0.685 0.094
11 Na 0.919 0.839 0.000
12 Na 0.745 0.490 0.500
13 P 0.299 0.000 0.085
14 P 0.201 0.000 0.585
15 P 0.624 0.685 0.594
16 Cs 0.892 0.334 0.325
17 Cs 0.608 0.666 0.825
18 P 0.376 0.315 0.406
19 Na 0.755 0.510 0.000
20 P 0.799 0.000 0.415
21 Cs 0.730 0.000 0.681
22 Cs 0.108 0.666 0.675
23 P 0.939 0.315 0.594
24 Cs 0.230 0.000 0.819
25 Cs 0.058 0.666 0.175
26 P 0.124 0.685 0.906
27 Na 0.255 0.510 0.500
28 Cs 0.770 0.000 0.181
29 Na 0.245 0.490 0.000
30 Sn 0.088 0.175 0.500
31 Cs 0.442 0.334 0.675
32 Cs 0.942 0.334 0.825
33 Na 0.581 0.161 0.500
34 Na 0.081 0.161 0.000
35 Cs 0.270 0.000 0.319
36 Sn 0.412 0.825 0.000

Computed properties:
**ρ**: 3.95 g/cm³
**M_tot**: 0.000 μB per cell
**Space group**: Cmce, No. 64
**Energy of formation**: -0.41 eV per atom

=====

Question: What is the formula in the second record?
Answer: Cs3Na2SnP3